No. 1
Material: KNi2Au
Method: DFT, PBE-GGA
State: optimized geometry

Cell and atoms, written as POSCAR:
```
KNi2Au
1.0
1.4292 0.8251 9.7155
-1.4292 0.8251 9.7155
0.0000 -1.6503 9.7155
K Ni Au
1 2 1
direct
0.0000 0.0000 0.0000 K
0.2402 0.2402 0.2402 Ni
0.7598 0.7598 0.7598 Ni
0.5000 0.5000 0.5000 Au
```

Output
The calculation puts the energy relative to the elements at 0.67 eV per atom. As for the distance to the lowest polymorph of the same formula: 0.371 eV per atom.

No. 2
Material: KNi2Au
Method: DFT, PBE-GGA
State: optimized geometry

Cell and atoms, written as POSCAR:
```
KNi2Au
1.0
2.9295 -4.6921 0.0000
2.9295 4.6921 0.0000
-1.0785 0.0000 2.4993
K Ni Au
1 2 1
direct
0.0000 0.0000 0.0000 K
0.0000 0.5000 0.5000 Ni
0.5000 0.0000 0.5000 Ni
0.5000 0.5000 0.0000 Au
```

Output
The calculation puts the energy relative to the elements at 0.67 eV per atom. As for the distance to the lowest polymorph of the same formula: 0.368 eV per atom.

No. 3
Material: K2NiAu
Method: DFT, PBE-GGA
State: optimized geometry

Cell and atoms, written as POSCAR:
```
K2NiAu
1.0
-2.6255 2.6255 3.7082
2.6255 -2.6255 3.7082
2.6255 2.6255 -3.7082
K Ni Au
2 1 1
direct
0.0000 0.0000 0.0000 K
0.7500 0.2500 0.5000 K
0.2500 0.7500 0.5000 Ni
0.5000 0.5000 0.0000 Au
```

Output
The calculation puts the energy relative to the elements at 0.38 eV per atom. As for the distance to the lowest polymorph of the same formula: 0.296 eV per atom.

No. 4
Material: KNiAu2
Method: DFT, PBE-GGA
State: optimized geometry

Cell and atoms, written as POSCAR:
```
KNiAu2
1.0
-1.4125 2.6941 5.4283
1.4125 -2.6941 5.4283
1.4125 2.6941 -5.4283
K Ni Au
1 1 2
direct
0.0000 0.0000 0.0000 K
0.5000 0.5000 0.0000 Ni
0.3006 0.8006 0.5000 Au
0.6994 0.1994 0.5000 Au
```

Output
The calculation puts the energy relative to the elements at 0.19 eV per atom. As for the distance to the lowest polymorph of the same formula: 0.115 eV per atom.

No. 5
Material: K2NiAu
Method: DFT, PBE-GGA
State: optimized geometry

Cell and atoms, written as POSCAR:
```
K2NiAu
1.0
-2.3191 2.8337 4.6677
2.3191 -2.8337 4.6677
2.3191 2.8337 -4.6677
K Ni Au
2 1 1
direct
0.0000 0.0000 0.0000 K
0.6924 0.1924 0.5000 K
0.3149 0.8149 0.5000 Ni
0.3919 0.3919 0.0000 Au
```

Output
The calculation puts the energy relative to the elements at 0.18 eV per atom. As for the distance to the lowest polymorph of the same formula: 0.096 eV per atom.

No. 6
Material: KNiAu2
Method: DFT, PBE-GGA
State: optimized geometry

Cell and atoms, written as POSCAR:
```
KNiAu2
1.0
2.8274 0.0000 0.0000
0.0000 4.4126 0.0000
-0.0485 0.0000 7.2919
K Ni Au
1 1 2
direct
0.0000 0.0000 0.0000 K
0.9869 0.5000 0.4018 Ni
0.4888 0.0000 0.4148 Au
0.4938 0.5000 0.7082 Au
```

Output
The calculation puts the energy relative to the elements at 0.10 eV per atom. As for the distance to the lowest polymorph of the same formula: 0.027 eV per atom.

No. 7
Material: KNi2Au
Method: DFT, PBE-GGA
State: optimized geometry

Cell and atoms, written as POSCAR:
```
KNi2Au
1.0
3.0071 -4.0607 0.0000
3.0071 4.0607 0.0000
0.0000 0.0000 2.7439
K Ni Au
1 2 1
direct
0.0000 0.0000 0.0000 K
0.0000 0.5000 0.5000 Ni
0.5000 0.0000 0.5000 Ni
0.5000 0.5000 0.0000 Au
```

Output
The calculation puts the energy relative to the elements at 0.66 eV per atom. As for the distance to the lowest polymorph of the same formula: 0.360 eV per atom.

No. 8
Material: KNiAu2
Method: DFT, PBE-GGA
State: optimized geometry

Cell and atoms, written as POSCAR:
```
KNiAu2
1.0
6.5659 -1.4213 0.0000
6.5659 1.4213 0.0000
-2.8029 0.0000 5.4974
K Ni Au
1 1 2
direct
0.0000 0.0000 0.0000 K
0.1011 0.1011 0.5481 Ni
0.4246 0.4246 0.4539 Au
0.7456 0.7456 0.4822 Au
```

Output
The calculation puts the energy relative to the elements at 0.14 eV per atom. As for the distance to the lowest polymorph of the same formula: 0.065 eV per atom.

No. 9
Material: KNiAu2
Method: DFT, PBE-GGA
State: optimized geometry

Cell and atoms, written as POSCAR:
```
KNiAu2
1.0
1.5095 0.8715 9.8903
-1.5095 0.8715 9.8903
0.0000 -1.7430 9.8903
K Ni Au
1 1 2
direct
0.0000 0.0000 0.0000 K
0.7570 0.7570 0.7570 Ni
0.2377 0.2377 0.2377 Au
0.4906 0.4906 0.4906 Au
```

Output
The calculation puts the energy relative to the elements at 0.44 eV per atom. As for the distance to the lowest polymorph of the same formula: 0.361 eV per atom.

No. 10
Material: K2NiAu
Method: DFT, PBE-GGA
State: optimized geometry

Cell and atoms, written as POSCAR:
```
K2NiAu
1.0
3.9080 0.0000 0.0000
0.0000 3.9262 0.0000
0.0000 0.0000 8.1015
K Ni Au
2 1 1
direct
0.0000 0.0000 0.2459 K
0.0000 0.0000 0.7541 K
0.5000 0.5000 0.5000 Ni
0.5000 0.5000 0.0000 Au
```

Output
The calculation puts the energy relative to the elements at 0.41 eV per atom. As for the distance to the lowest polymorph of the same formula: 0.327 eV per atom.

No. 11
Material: K2NiAu
Method: DFT, PBE-GGA
State: optimized geometry

Cell and atoms, written as POSCAR:
```
K2NiAu
1.0
3.7579 -2.1705 0.0000
3.7579 2.1705 0.0000
-2.3776 0.0000 8.9793
K Ni Au
2 1 1
direct
0.0000 0.0000 0.0000 K
0.1610 0.1610 0.5061 K
0.4133 0.4133 0.2528 Ni
0.7469 0.7469 0.2531 Au
```

Output
The calculation puts the energy relative to the elements at 0.08 eV per atom. As for the distance to the lowest polymorph of the same formula: 0.000 eV per atom.

No. 12
Material: K4NiAu
Method: DFT, PBE-GGA
State: optimized geometry

Cell and atoms, written as POSCAR:
```
K4NiAu
1.0
0.0000 4.9490 4.9490
4.9490 0.0000 4.9490
4.9490 4.9490 0.0000
K Ni Au
4 1 1
direct
0.1252 0.1252 0.1252 K
0.1252 0.1252 0.6245 K
0.1252 0.6245 0.1252 K
0.6245 0.1252 0.1252 K
0.7500 0.7500 0.7500 Ni
0.5000 0.5000 0.5000 Au
```

Output
The calculation puts the energy relative to the elements at 0.68 eV per atom.

Question: What is the energy relative to the elements in the seventh record?
Answer: 0.66 eV per atom

Question: energy relative to the elements of number 10 (K2NiAu)?
Answer: 0.41 eV per atom

Question: Among the records above, which one has the highest energy relative to the elements?
Answer: K4NiAu